Entry 1:
VASP calculation (GGA-PBE) on a geometry-optimized Y2CuPb2 structure.

Cell and atoms, written as POSCAR:
```
Y2CuPb2
1.0
7.6613 0.0000 0.0000
0.0000 7.6613 0.0000
0.0000 0.0000 4.7662
Y Cu Pb
4 2 4
Cartesian
1.2701 2.5605 0.0000
2.5605 6.3912 0.0000
5.1008 1.2701 0.0000
6.3912 5.1008 0.0000
0.0000 0.0000 0.0000
3.8307 3.8307 0.0000
1.1155 4.9462 2.3831
2.7151 1.1155 2.3831
4.9462 6.5458 2.3831
6.5458 2.7151 2.3831
```

SG: P4/mbm (127)
Energy of formation from the pure elements (meV per atom): -178


Entry 2:
VASP calculation (GGA-PBE) on a geometry-optimized YCu2Pb2 structure.

Cell and atoms, written as POSCAR:
```
YCu2Pb2
1.0
4.6054 0.0000 0.0000
0.0000 4.6054 0.0000
0.0000 0.0000 10.7838
Y Cu Pb
2 4 4
Cartesian
0.0000 0.0000 0.0000
2.3027 2.3027 5.3919
0.0000 0.0000 4.2344
0.0000 0.0000 6.5494
2.3027 2.3027 1.1575
2.3027 2.3027 9.6263
0.0000 2.3027 2.6960
0.0000 2.3027 8.0879
2.3027 0.0000 2.6960
2.3027 0.0000 8.0879
```

SG: I4/mmm (139)
Energy of formation from the pure elements (meV per atom): -42


Entry 3:
VASP calculation (GGA-PBE) on a geometry-optimized Y12Cu6Pb structure.

Cell and atoms, written as POSCAR:
```
Y12Cu6Pb
1.0
-4.9654 4.9654 4.9654
4.9654 -4.9654 4.9654
4.9654 4.9654 -4.9654
Y Cu Pb
12 6 1
Cartesian
4.9654 -1.9816 3.0904
2.9838 1.8750 0.0000
6.9471 1.8750 0.0000
3.0904 4.9654 -1.9816
1.8750 0.0000 2.9838
0.0000 2.9838 1.8750
4.9654 1.9816 3.0904
3.0904 4.9654 1.9816
1.8750 0.0000 6.9471
-1.9816 3.0904 4.9654
1.9816 3.0904 4.9654
0.0000 6.9471 1.8750
4.9654 0.0000 1.2202
4.9654 3.7452 0.0000
1.2202 4.9654 0.0000
3.7452 0.0000 4.9654
0.0000 1.2202 4.9654
0.0000 4.9654 3.7452
0.0000 0.0000 0.0000
```

SG: Im-3 (204)
Energy of formation from the pure elements (meV per atom): -229


Entry 4:
VASP calculation (GGA-PBE) on a geometry-optimized Y5CuPb3 structure.

Cell and atoms, written as POSCAR:
```
Y5CuPb3
1.0
9.2276 0.0000 0.0000
-4.6138 7.9914 0.0000
0.0000 0.0000 6.6991
Y Cu Pb
10 2 6
Cartesian
-1.1737 2.0329 1.6748
-3.4401 5.9585 5.0244
2.3474 0.0000 1.6748
1.1737 2.0329 5.0244
0.0000 5.3276 0.0000
0.0000 5.3276 3.3496
4.6138 2.6638 0.0000
4.6138 2.6638 3.3496
6.8802 0.0000 5.0244
3.4401 5.9585 1.6748
0.0000 0.0000 0.0000
0.0000 0.0000 3.3496
-1.7935 3.1065 5.0244
-2.8203 4.8849 1.6748
3.5871 0.0000 5.0244
1.7935 3.1065 1.6748
5.6406 0.0000 1.6748
2.8203 4.8849 5.0244
```

SG: P6_3/mcm (193)
Energy of formation from the pure elements (meV per atom): -534


Ordered theoretical density results: 7.8 9.2 5.6 7.6; unit g/cm3.